(1)
Here is a relaxed YMgRu3 crystal from Alexandria via LeMat-Bulk. Energies are from PBE.

Structure (extended XYZ):
```
5
Lattice="4.565 0.000 0.000 0.000 4.565 0.000 0.000 0.000 4.565" Properties=species:S:1:pos:R:3 pbc="T T T"
Y 2.282 2.282 2.282
Ru 0.000 2.282 0.000
Ru 0.000 0.000 2.282
Ru 2.282 0.000 0.000
Mg 0.000 0.000 0.000
```

## Properties
- density of states at the Fermi level (states/eV/f.u.) = 5.47
- energy relative to the lowest polymorph listed for this composition (meV per atom) = 0.0

=====

(2)
Here is a relaxed CuTe crystal from Alexandria via LeMat-Bulk. Energies are from PBE.

Structure (extended XYZ):
```
4
Lattice="4.930 0.000 0.000 2.465 4.269 0.000 2.465 1.423 4.025" Properties=species:S:1:pos:R:3 pbc="T T T"
Cu 0.000 0.000 0.000
Cu 2.465 1.423 1.006
Te 4.930 2.846 2.012
Te 7.394 4.269 3.019
```

## Properties
- density of states at the Fermi level (states/eV/f.u.) = 2.01
- formation energy without anion corrections (eV/atom) = 0.627

=====

(3)
Here is a relaxed La8TbSm5 crystal from Alexandria via LeMat-Bulk. Energies are from PBE.

Structure (extended XYZ):
```
14
Lattice="8.714 -0.076 0.131 -3.020 8.174 -0.131 -2.673 -4.171 7.170" Properties=species:S:1:pos:R:3 pbc="T T T"
La -0.890 5.681 0.421
La 6.028 -1.988 4.861
La 4.721 0.672 2.485
La 2.098 -0.648 6.657
La 2.055 3.779 1.883
La -0.047 3.833 5.889
La 0.950 0.328 3.170
La -2.833 4.052 3.316
Tb -1.337 0.940 5.345
Sm -1.017 1.967 0.896
Sm 4.390 6.548 1.267
Sm 3.146 2.587 5.197
Sm 3.020 -2.124 3.651
Sm -0.478 -3.248 6.981
```

## Properties
- density of states at the Fermi level (states/eV/f.u.) = 22.27
- electronic total energy (Ry per atom) = -0.3383

=====

(4)
Here is a relaxed Ho5Al2Cd crystal from Alexandria via LeMat-Bulk. Energies are from PBE.

Structure (extended XYZ):
```
16
Lattice="-3.742 3.654 -0.752 -1.862 -5.467 1.264 0.289 3.500 15.567" Properties=species:S:1:pos:R:3 pbc="T T T"
Ho -4.709 1.984 14.512
Ho -4.801 0.871 9.561
Ho -2.793 -1.337 7.399
Ho -2.898 -2.602 1.772
Ho -2.809 1.717 3.756
Ho -2.505 -0.030 12.322
Ho -2.521 3.024 8.679
Ho -2.417 4.290 14.307
Ho -0.605 -0.297 1.566
Ho -0.513 0.816 6.517
Al -3.753 1.325 6.547
Al -3.848 0.176 1.436
Al -1.561 0.362 9.531
Al -1.466 1.512 14.642
Cd -3.115 3.028 11.646
Cd -2.200 -1.340 4.432
```

## Properties
- density of states at the Fermi level (states/eV/f.u.) = 5.44
- energy relative to the lowest polymorph listed for this composition (meV per atom) = 194.0

=====

(5)
Here is a relaxed RbZn6Ge2 crystal from Alexandria via LeMat-Bulk. Energies are from PBE.

Structure (extended XYZ):
```
9
Lattice="-3.902 1.641 -1.596 1.203 -1.213 -4.189 -3.963 -8.217 1.241" Properties=species:S:1:pos:R:3 pbc="T T T"
Rb 0.000 0.000 0.000
Zn -0.730 -3.368 -1.677
Zn -3.283 -1.941 -0.381
Zn -2.030 -6.062 -1.270
Zn -4.582 -4.635 0.026
Zn -3.331 -3.894 -2.272
Zn -1.982 -4.108 0.621
Ge -2.141 -1.426 -2.645
Ge -4.522 -6.363 -1.899
```

## Properties
- density of states at the Fermi level (states/eV/f.u.) = 1.52
- electronic total energy (Ry per atom) = -0.1451

=====

(6)
Here is a relaxed AgHg2Br crystal from Alexandria via LeMat-Bulk. Energies are from PBE.

Structure (extended XYZ):
```
4
Lattice="-1.354 -2.108 2.709 -0.139 -1.369 -3.423 7.876 -3.614 1.125" Properties=species:S:1:pos:R:3 pbc="T T T"
Br 5.161 -4.449 0.486
Hg 0.077 -0.036 0.011
Hg 3.861 -1.771 0.552
Ag 1.222 -2.642 -0.076
```

## Properties
- density of states at the Fermi level (states/eV/f.u.) = 0.93
- energy relative to the lowest polymorph listed for this composition (meV per atom) = 127.8
- formation energy without anion corrections (eV/atom) = -0.016